(1)
TlPt | PBE | relaxed

Output
calculated formation energy = -0.014 eV per atom

The structure in CIF format:
```
data_TlPt
_chemical_formula_sum 'Tl2 Pt2'
_symmetry_space_group_name_H-M 'P 1 21/m 1'
_symmetry_Int_Tables_number 11
_cell_length_a 3.793
_cell_length_b 4.186
_cell_length_c 5.615
_cell_angle_alpha 90.00
_cell_angle_beta 108.89
_cell_angle_gamma 90.00
loop_
_symmetry_equiv_pos_as_xyz
'x,y,z'
'-x,-y,-z'
'-x,y+1/2,-z'
'x,-y+1/2,z'
loop_
_atom_site_label
_atom_site_fract_x
_atom_site_fract_y
_atom_site_fract_z
_atom_site_occupancy
Tl1 0.150 0.250 0.299 1
Pt1 0.413 0.250 0.837 1
```

(2)
TlPt | PBE | relaxed

Output
calculated formation energy = 0.138 eV per atom

The structure in CIF format:
```
data_TlPt
_chemical_formula_sum 'Tl2 Pt2'
_symmetry_space_group_name_H-M 'P 4/n m m'
_symmetry_Int_Tables_number 129
_cell_length_a 3.445
_cell_length_b 3.445
_cell_length_c 7.197
_cell_angle_alpha 90.00
_cell_angle_beta 90.00
_cell_angle_gamma 90.00
loop_
_symmetry_equiv_pos_as_xyz
'x,y,z'
'-x,-y,-z'
'-y+1/2,x,z'
'y+1/2,-x,-z'
'-x+1/2,-y+1/2,z'
'x+1/2,y+1/2,-z'
'y,-x+1/2,z'
'-y,x+1/2,-z'
'x+1/2,-y,-z'
'-x+1/2,y,z'
'-y,-x,-z'
'y,x,z'
'-x,y+1/2,-z'
'x,-y+1/2,z'
'y+1/2,x+1/2,-z'
'-y+1/2,-x+1/2,z'
loop_
_atom_site_label
_atom_site_fract_x
_atom_site_fract_y
_atom_site_fract_z
_atom_site_occupancy
Tl1 0.250 0.250 0.174 1
Pt1 0.250 0.250 0.598 1
```

(3)
Tl3Pt | PBE | relaxed

Output
calculated formation energy = 0.188 eV per atom
polymorph energy (0 for the lowest one) = 20.3 kJ per mole of atoms

The structure in CIF format:
```
data_Tl3Pt
_chemical_formula_sum 'Tl6 Pt2'
_symmetry_space_group_name_H-M 'P m -3 n'
_symmetry_Int_Tables_number 223
_symmetry_space_group_name_Hall '-P 4n 2 3'
_cell_length_a 5.870
_cell_length_b 5.870
_cell_length_c 5.870
_cell_angle_alpha 90.00
_cell_angle_beta 90.00
_cell_angle_gamma 90.00
loop_
_atom_site_label
_atom_site_fract_x
_atom_site_fract_y
_atom_site_fract_z
_atom_site_occupancy
Tl1 0.000 0.250 0.500 1
Pt1 0.000 0.000 0.000 1
```

(4)
TlPt | PBE | relaxed

Output
calculated formation energy = 0.172 eV per atom

The structure in CIF format:
```
data_TlPt
_chemical_formula_sum 'Tl3 Pt3'
_symmetry_space_group_name_H-M 'R -3 m'
_symmetry_Int_Tables_number 166
_symmetry_space_group_name_Hall '-R 3 2"'
_cell_length_a 3.2101
_cell_length_b 3.2101
_cell_length_c 13.4894
_cell_angle_alpha 90.00
_cell_angle_beta 90.00
_cell_angle_gamma 120.00
loop_
_atom_site_label
_atom_site_fract_x
_atom_site_fract_y
_atom_site_fract_z
_atom_site_occupancy
Tl1 0.0000 0.0000 0.0000 1
Pt1 0.0000 0.0000 0.5000 1
```

(5)
TlPt | PBE | relaxed

Output
calculated formation energy = 0.250 eV per atom

The structure in CIF format:
```
data_TlPt
_chemical_formula_sum 'Tl4 Pt4'
_symmetry_space_group_name_H-M 'P 42/m n m'
_symmetry_Int_Tables_number 136
_symmetry_space_group_name_Hall '-P 4n 2n'
_cell_length_a 8.097
_cell_length_b 8.097
_cell_length_c 3.723
_cell_angle_alpha 90.00
_cell_angle_beta 90.00
_cell_angle_gamma 90.00
loop_
_atom_site_label
_atom_site_fract_x
_atom_site_fract_y
_atom_site_fract_z
_atom_site_occupancy
Tl1 0.214 0.214 0.000 1
Pt1 0.115 0.885 0.000 1
```

(6)
Tl5Pt | PBE | relaxed

Output
calculated formation energy = -0.011 eV per atom
polymorph energy (0 for the lowest one) = 0.0 kJ per mole of atoms

The structure in CIF format:
```
data_Tl5Pt
_chemical_formula_sum 'Tl10 Pt2'
_symmetry_space_group_name_H-M 'P m m a'
_symmetry_Int_Tables_number 51
_cell_length_a 9.755
_cell_length_b 4.202
_cell_length_c 8.224
_cell_angle_alpha 90.00
_cell_angle_beta 90.00
_cell_angle_gamma 90.00
loop_
_symmetry_equiv_pos_as_xyz
'x,y,z'
'-x,-y,-z'
'-x+1/2,-y,z'
'x+1/2,y,-z'
'x+1/2,-y,-z'
'-x+1/2,y,z'
'-x,y,-z'
'x,-y,z'
loop_
_atom_site_label
_atom_site_fract_x
_atom_site_fract_y
_atom_site_fract_z
_atom_site_occupancy
Tl1 0.000 0.000 0.000 1
Tl2 0.065 0.500 0.315 1
Tl3 0.250 0.000 0.577 1
Tl4 0.250 0.500 0.912 1
Pt1 0.250 0.000 0.196 1
```